[1]
Ba2GdBiO6 (PBE, optimized geometry); symmetry = No. 225; DFT total energy = -6.619 eV per atom
1.0
-2.6203 -1.9961 5.1611
1.4736 -5.4990 2.2531
3.2955 -0.4182 5.1431
Ba O Gd Bi
2 6 1 1
Cartesian
0.5372 -1.9783 3.1393 Ba
1.6116 -5.9350 9.4179 Ba
0.8690 -3.1630 8.3499 O
-0.0684 -5.7772 6.8629 O
1.2798 -4.7502 4.2074 O
2.2172 -2.1360 5.6944 O
2.9754 -4.9654 6.8536 O
-0.8266 -2.9479 5.7036 O
1.0744 -3.9566 6.2786 Gd
0.0000 0.0000 0.0000 Bi

***

[2]
BaHfBi2 (PBE, optimized geometry); symmetry = No. 216; DFT total energy = -4.707 eV per atom
1.0
3.5905 2.2372 3.6306
-1.5564 4.3253 3.1540
-0.7844 -0.6833 5.4769
Hf Ba Bi
1 1 2
Cartesian
0.3124 1.4698 3.0654 Hf
0.0000 0.0000 0.0000 Ba
0.6249 2.9396 6.1307 Bi
0.9373 4.4094 9.1961 Bi

***

[3]
BaHg2Bi (PBE, optimized geometry); symmetry = No. 216; DFT total energy = -2.058 eV per atom
1.0
4.5554 -3.0861 -1.3654
-0.5781 -5.4906 -1.2884
0.7403 -1.7516 -5.3408
Hg Bi Ba
2 1 1
Cartesian
3.5382 -7.7462 -5.9959 Hg
0.0000 0.0000 0.0000 Hg
2.3588 -5.1641 -3.9973 Bi
1.1794 -2.5821 -1.9986 Ba

***

[4]
BaHgBi2 (PBE, optimized geometry); symmetry = No. 216; DFT total energy = -2.964 eV per atom
1.0
0.0000 4.0810 4.0810
4.0810 0.0000 4.0810
4.0810 4.0810 0.0000
Hg Ba Bi
1 1 2
Cartesian
4.0810 4.0810 4.0810 Hg
2.0405 2.0405 2.0405 Ba
0.0000 0.0000 0.0000 Bi
6.1215 6.1215 6.1215 Bi

***

[5]
BaHgBi2 (PBE, optimized geometry); symmetry = No. 216; DFT total energy = -2.964 eV per atom
1.0
4.0359 1.7954 3.7144
-0.6378 -0.9820 5.6513
3.3861 -3.8418 2.6616
Bi Ba Hg
2 1 1
Cartesian
0.0000 0.0000 0.0000 Bi
5.0881 -2.2712 9.0205 Bi
3.3921 -1.5142 6.0137 Ba
1.6960 -0.7571 3.0068 Hg

***

[6]
BaHg2Bi (PBE, optimized geometry); symmetry = No. 216; DFT total energy = -2.058 eV per atom
1.0
-0.1263 2.3882 5.1404
-0.3077 5.6391 0.4990
-4.7669 2.4232 1.8835
Hg Ba Bi
2 1 1
Cartesian
-3.9007 7.8379 5.6422 Hg
0.0000 0.0000 0.0000 Hg
-2.6005 5.2253 3.7615 Ba
-1.3002 2.6126 1.8807 Bi

***

[7]
KBaHgBi (PBE, optimized geometry); symmetry = No. 216; DFT total energy = -2.469 eV per atom
1.0
1.1026 -4.6294 3.6619
0.2939 0.8696 5.9341
-4.3478 -2.1116 3.5628
K Ba Bi Hg
1 1 1 1
Cartesian
-1.4757 -2.9357 6.5794 K
0.0000 0.0000 0.0000 Ba
-0.7378 -1.4679 3.2897 Bi
-2.2135 -4.4036 9.8691 Hg

***

[8]
Ba2MgHgBi4 (PBE, optimized geometry); symmetry = No. 119; DFT total energy = -3.290 eV per atom
1.0
-2.0800 11.5474 5.1452
-6.8579 10.8085 0.5358
2.4709 -12.5593 -0.5480
Bi Mg Ba Hg
4 1 2 1
Cartesian
-2.8889 0.8640 0.4359 Bi
-5.9670 8.5632 2.3924 Bi
-2.2294 5.5764 1.4170 Bi
-6.7084 16.7796 4.2639 Bi
-4.4689 11.1780 2.8405 Mg
-3.0601 7.6373 4.3679 Ba
-1.0178 2.5289 3.0698 Ba
0.0000 0.0000 0.0000 Hg

***

[9]
BaNaHgBi (PBE, optimized geometry); symmetry = No. 216; DFT total energy = -2.516 eV per atom
1.0
0.0000 4.0876 4.0876
4.0876 0.0000 4.0876
4.0876 4.0876 0.0000
Ba Na Hg Bi
1 1 1 1
Cartesian
0.0000 0.0000 0.0000 Ba
4.0876 4.0876 4.0876 Na
2.0438 2.0438 2.0438 Hg
6.1314 6.1314 6.1314 Bi

***

[10]
Ba3Hg2Bi2Sb2 (PBE, optimized geometry); symmetry = No. 12; DFT total energy = -3.205 eV per atom
1.0
9.1834 -2.5147 0.0000
9.1834 2.5147 0.0000
-2.9691 0.0000 7.1360
Ba Sb Bi Hg
3 2 2 2
Cartesian
-1.4845 0.0000 3.5680 Ba
2.1816 0.0000 0.8333 Ba
13.2161 0.0000 6.3027 Ba
6.8200 0.0000 5.8366 Sb
8.5778 0.0000 1.2994 Sb
13.6834 0.0000 2.0517 Bi
1.7144 0.0000 5.0844 Bi
10.7374 0.0000 3.4075 Hg
4.6603 0.0000 3.7285 Hg

***

[11]
BaHoBi (PBE, optimized geometry); symmetry = No. 216; DFT total energy = -3.477 eV per atom
1.0
0.0000 3.8557 3.8557
3.8557 0.0000 3.8557
3.8557 3.8557 0.0000
Bi Ho Ba
1 1 1
Cartesian
0.0000 0.0000 0.0000 Bi
1.9279 1.9279 1.9279 Ho
3.8557 3.8557 3.8557 Ba

***

[12]
Ba2BiIrS6 (PBE, optimized geometry); polymorph energy (0 for the lowest one) = 0.23 eV per formula unit; symmetry = No. 12
1.0
1.7335 5.4040 -3.7873
-4.5211 2.5278 -4.4410
-1.2562 1.0970 7.1927
S Bi Ir Ba
6 1 1 2
Cartesian
-3.0170 6.8779 -1.3956 S
-0.9533 6.0458 1.5417 S
-3.0905 2.9829 -2.5772 S
-1.0267 2.1509 0.3601 S
0.1623 4.4788 -2.2373 S
-4.2060 4.5500 1.2017 S
-2.0219 4.5144 -0.5178 Bi
0.0000 0.0000 0.0000 Ir
-2.3357 6.0703 -4.3607 Ba
-1.7080 2.9585 3.3252 Ba

***

[13]
Ba2BiIrS6 (PBE, optimized geometry); polymorph energy (0 for the lowest one) = 0.75 eV per formula unit; symmetry = No. 225
1.0
6.1699 -3.5622 0.0000
6.1699 3.5622 0.0000
-4.1133 0.0000 5.8170
Ba S Ir Bi
2 6 1 1
Cartesian
0.0000 0.0000 4.3628 Ba
8.2265 0.0000 1.4543 Ba
1.9305 0.0000 1.3651 S
5.2046 1.8903 1.3651 S
6.2960 0.0000 4.4519 S
3.0219 -1.8903 4.4519 S
5.2046 -1.8903 1.3651 S
3.0219 1.8903 4.4519 S
0.0000 0.0000 0.0000 Ir
4.1132 0.0000 2.9085 Bi